The following is a PBE+U calculation of a geometry-optimized NaCrBrO structure, from Alexandria.

Cell and atoms, written as POSCAR:
```
NaCrBrO
1.0
-3.7052 0.6495 0.5647
0.2986 -1.3674 3.5321
2.3274 10.0622 3.6987
Cr Na O Br
2 2 2 2
direct
0.0000 0.0000 0.0556
0.0000 0.5000 0.5556
0.5000 0.5000 0.2376
0.5000 0.0000 0.7376
0.5000 0.0000 0.1027
0.5000 0.5000 0.6027
0.0000 0.5000 0.8772
0.0000 0.0000 0.3772
```

Properties
DFT total energy in eV per atom: -5.0453
Energy above the most stable polymorph in this dataset in meV per atom: 38
Space group: Amm2, No. 38